An optimized crystal structure of NiRuPb2O6. Source: Alexandria, functional GGA+U.

a b c (Å): 5.611 5.662 7.933
angles (deg): 90.00 89.88 90.00
Atoms (fractional coordinates):
Ni: 0.500 0.000 0.000
Ni: 0.000 0.500 0.500
O: 0.780 0.796 0.540
O: 0.720 0.296 0.960
O: 0.701 0.278 0.544
O: 0.420 0.976 0.741
O: 0.580 0.024 0.259
O: 0.299 0.722 0.456
O: 0.280 0.704 0.040
O: 0.920 0.524 0.241
O: 0.799 0.778 0.956
O: 0.220 0.204 0.460
O: 0.080 0.476 0.759
O: 0.201 0.222 0.044
Pb: 0.008 0.962 0.252
Pb: 0.508 0.538 0.752
Pb: 0.992 0.038 0.748
Pb: 0.492 0.462 0.248
Ru: 0.000 0.500 0.000
Ru: 0.500 0.000 0.500

Computed properties:
calculated total energy = -5.892 eV per atom
DOS(E_F) = 6.333 states/eV per cell
space group = P2_1/c (14)